The following is a DFT calculation (GGA+U) of a relaxed K2MgCoO4 crystal.

Cell lengths 5.272, 12.232, 19.814 Å; angles 90.00, 90.00, 90.00 degrees
Space group Fddd (No. 70, origin choice 2)
Asymmetric unit:
K: 0.125 0.125 0.310 (multiplicity 16)
Mg: 0.125 0.125 0.125 (multiplicity 8)
Co: 0.125 0.125 0.625 (multiplicity 8)
O: 0.104 0.279 0.843 (multiplicity 32)

Values from the calculation:
As for the density: 2.34 g/cm3. The calculation puts the total energy at -318.67 eV per cell.